Ti8SiC2 | PBE-GGA | relaxed

Structure (extended XYZ):
```
11
Lattice="3.4627 -5.2734 0.0000 3.4627 5.2734 0.0000 -0.8098 0.0000 4.1859" Properties=species:S:1:pos:R:3 pbc="T T T"
Ti 0.0113 0.0000 3.3770
Ti 1.7032 1.3608 1.8470
Ti 3.4627 2.6538 0.0000
Ti 1.7032 -1.3608 1.8470
Ti 4.4125 1.3608 2.3389
Ti 3.4627 -2.6538 0.0000
Ti 4.4125 -1.3608 2.3389
Ti 6.1044 0.0000 0.8090
Si 3.4627 0.0000 0.0000
C 3.0579 3.2414 2.0930
C 3.0579 -3.2414 2.0930
```

SG = C2/m
Formation energy from raw total energies = -345 meV per atom
Fermi-level density of states = 0.8396 states/eV per atom

TiSiC3 | PBE-GGA | relaxed

Structure (extended XYZ):
```
5
Lattice="4.0363 0.0000 0.0000 0.0000 4.0363 0.0000 0.0000 0.0000 4.0363" Properties=species:S:1:pos:R:3 pbc="T T T"
Ti 0.0000 0.0000 0.0000
Si 2.0181 2.0181 2.0181
C 0.0000 0.0000 2.0181
C 0.0000 2.0181 0.0000
C 2.0181 0.0000 0.0000
```

SG = Pm-3m
Energy above the most stable polymorph in this dataset = 642.9 meV per atom
Formation energy from raw total energies = 2071 meV per atom
Fermi-level density of states = 0.6475 states/eV per atom

TiSi3C | PBE-GGA | relaxed

Structure (extended XYZ):
```
5
Lattice="4.0274 0.0000 0.0000 0.0000 4.0274 0.0000 0.0000 0.0000 4.0274" Properties=species:S:1:pos:R:3 pbc="T T T"
Ti 0.0000 0.0000 0.0000
Si 0.0000 2.0137 2.0137
Si 2.0137 0.0000 2.0137
Si 2.0137 2.0137 0.0000
C 2.0137 2.0137 2.0137
```

SG = Pm-3m
Energy above the most stable polymorph in this dataset = 0.0 meV per atom
Formation energy from raw total energies = 683 meV per atom
Fermi-level density of states = 0.6622 states/eV per atom

TiSi2C2 | PBE-GGA | relaxed

Structure (extended XYZ):
```
10
Lattice="6.5567 0.0000 0.0000 0.0000 6.5567 0.0000 0.0000 0.0000 2.9444" Properties=species:S:1:pos:R:3 pbc="T T T"
Ti 0.0000 0.0000 0.0000
Ti 3.2783 3.2783 0.0000
Si 0.7889 2.4895 0.0000
Si 2.4895 5.7678 0.0000
Si 4.0672 0.7889 0.0000
Si 5.7678 4.0672 0.0000
C 1.5334 1.7449 1.4722
C 1.7449 5.0233 1.4722
C 4.8118 1.5334 1.4722
C 5.0233 4.8118 1.4722
```

SG = P4/mbm
Energy above the most stable polymorph in this dataset = 219.6 meV per atom
Formation energy from raw total energies = 838 meV per atom
Fermi-level density of states = 0.6421 states/eV per atom

Ti4SiC2 | PBE-GGA | relaxed

Structure (extended XYZ):
```
14
Lattice="1.5744 -5.1993 0.0000 1.5744 5.1993 0.0000 0.0000 0.0000 10.9424" Properties=species:S:1:pos:R:3 pbc="T T T"
Ti 0.0000 0.0000 0.0000
Ti 0.0000 0.0000 5.4712
Ti 1.5744 2.4712 6.6293
Ti 1.5744 2.4712 9.7843
Ti 1.5744 0.8387 2.7356
Ti 1.5744 -0.8387 8.2068
Ti 1.5744 -2.4712 1.1581
Ti 1.5744 -2.4712 4.3131
Si 1.5744 4.0507 2.7356
Si 1.5744 -4.0507 8.2068
C 1.5744 1.4002 0.6639
C 1.5744 1.4002 4.8073
C 1.5744 -1.4002 6.1351
C 1.5744 -1.4002 10.2785
```

SG = Cmcm
Formation energy from raw total energies = -779 meV per atom
Fermi-level density of states = 0.4763 states/eV per atom

Ti7Si2C2 | PBE-GGA | relaxed

Structure (extended XYZ):
```
11
Lattice="3.3250 -4.3817 0.0000 3.3250 4.3817 0.0000 0.0000 0.0000 5.4020" Properties=species:S:1:pos:R:3 pbc="T T T"
Ti 0.0000 0.0000 0.0000
Ti 1.6625 2.1908 1.3193
Ti 1.6625 2.1908 4.0827
Ti 1.6625 -2.1908 1.3193
Ti 1.6625 -2.1908 4.0827
Ti 3.3250 0.0000 1.2798
Ti 3.3250 0.0000 4.1223
Si 1.1691 0.0000 2.7010
Si 5.4810 0.0000 2.7010
C 3.3250 1.9767 0.0000
C 3.3250 -1.9767 0.0000
```

SG = Cmmm
Formation energy from raw total energies = -410 meV per atom
Fermi-level density of states = 0.9643 states/eV per atom

TiSi3C | PBE-GGA | relaxed

Structure (extended XYZ):
```
5
Lattice="4.7718 0.0000 0.0000 0.0000 4.7718 0.0000 0.0000 0.0000 4.7718" Properties=species:S:1:pos:R:3 pbc="T T T"
Ti 0.0000 0.0000 0.0000
Si 0.0000 0.0000 2.3859
Si 0.0000 2.3859 0.0000
Si 2.3859 0.0000 0.0000
C 2.3859 2.3859 2.3859
```

SG = Pm-3m
Energy above the most stable polymorph in this dataset = 1246.4 meV per atom
Formation energy from raw total energies = 1929 meV per atom
Fermi-level density of states = 0.6203 states/eV per atom

TiSiC3 | PBE-GGA | relaxed

Structure (extended XYZ):
```
5
Lattice="3.7014 0.0000 0.0000 0.0000 3.7014 0.0000 0.0000 0.0000 3.7014" Properties=species:S:1:pos:R:3 pbc="T T T"
Ti 0.0000 0.0000 0.0000
Si 1.8507 1.8507 1.8507
C 0.0000 1.8507 1.8507
C 1.8507 0.0000 1.8507
C 1.8507 1.8507 0.0000
```

SG = Pm-3m
Energy above the most stable polymorph in this dataset = 0.0 meV per atom
Formation energy from raw total energies = 1428 meV per atom
Fermi-level density of states = 0.8621 states/eV per atom